#1
# PBE-GGA Pb2S2I, relaxed
# Magnetic moment ... 0.00 μB/f.u.
# Crystal system ... tetragonal
data_Pb2S2I
_cell_length_a 8.486
_cell_length_b 8.486
_cell_length_c 3.811
_cell_angle_alpha 90.00
_cell_angle_beta 90.00
_cell_angle_gamma 90.00
_symmetry_space_group_name_H-M 'P 4/m b m'
_symmetry_Int_Tables_number 127
_symmetry_space_group_name_Hall '-P 4 2ab'
loop_
_atom_site_label
_atom_site_type_symbol
_atom_site_fract_x
_atom_site_fract_y
_atom_site_fract_z
_atom_site_occupancy
Pb1 Pb 0.150 0.350 0.000 1
S1 S 0.136 0.636 0.500 1
I1 I 0.000 0.000 0.500 1


#2
# PBE-GGA Pb2S2I, relaxed
# Magnetic moment ... 0.00 μB/f.u.
# Crystal system ... tetragonal
data_Pb2S2I
_cell_length_a 5.446
_cell_length_b 5.446
_cell_length_c 10.019
_cell_angle_alpha 90.00
_cell_angle_beta 90.00
_cell_angle_gamma 90.00
_symmetry_space_group_name_H-M 'I 4/m m m'
_symmetry_Int_Tables_number 139
_symmetry_space_group_name_Hall '-I 4 2'
loop_
_atom_site_label
_atom_site_type_symbol
_atom_site_fract_x
_atom_site_fract_y
_atom_site_fract_z
_atom_site_occupancy
Pb1 Pb 0.000 0.500 0.250 1
S1 S 0.000 0.000 0.132 1
I1 I 0.000 0.000 0.500 1


Decreasing stability: #2, #1


#1
# PBE-GGA PbSI2, relaxed
# Magnetic moment ... 2.00 μB/f.u.
# Crystal system ... cubic
data_PbSI2
_cell_length_a 7.944
_cell_length_b 7.944
_cell_length_c 7.944
_cell_angle_alpha 90.00
_cell_angle_beta 90.00
_cell_angle_gamma 90.00
_symmetry_space_group_name_H-M 'F m -3 m'
_symmetry_Int_Tables_number 225
_symmetry_space_group_name_Hall '-F 4 2 3'
loop_
_atom_site_label
_atom_site_type_symbol
_atom_site_fract_x
_atom_site_fract_y
_atom_site_fract_z
_atom_site_occupancy
Pb1 Pb 0.000 0.000 0.000 1
S1 S 0.000 0.000 0.500 1
I1 I 0.250 0.250 0.250 1


#2
# PBE-GGA PbSI2, relaxed
# Magnetic moment ... 1.98 μB/f.u.
# Crystal system ... tetragonal
data_PbSI2
_cell_length_a 8.731
_cell_length_b 8.731
_cell_length_c 7.583
_cell_angle_alpha 90.00
_cell_angle_beta 90.00
_cell_angle_gamma 90.00
_symmetry_space_group_name_H-M 'I -4 2 d'
_symmetry_Int_Tables_number 122
_symmetry_space_group_name_Hall 'I -4 2bw'
loop_
_atom_site_label
_atom_site_type_symbol
_atom_site_fract_x
_atom_site_fract_y
_atom_site_fract_z
_atom_site_occupancy
Pb1 Pb 0.000 0.000 0.000 1
S1 S 0.000 0.000 0.500 1
I1 I 0.248 0.250 0.125 1


Decreasing stability: #1, #2


#1
# PBE-GGA Pb3SI, relaxed
# Magnetic moment ... 1.20 μB/f.u.
# Crystal system ... cubic
data_Pb3SI
_cell_length_a 6.013
_cell_length_b 6.013
_cell_length_c 6.013
_cell_angle_alpha 90.00
_cell_angle_beta 90.00
_cell_angle_gamma 90.00
_symmetry_space_group_name_H-M 'P m -3 m'
_symmetry_Int_Tables_number 221
_symmetry_space_group_name_Hall '-P 4 2 3'
loop_
_atom_site_label
_atom_site_type_symbol
_atom_site_fract_x
_atom_site_fract_y
_atom_site_fract_z
_atom_site_occupancy
Pb1 Pb 0.000 0.000 0.500 1
S1 S 0.500 0.500 0.500 1
I1 I 0.000 0.000 0.000 1


#2
# PBE-GGA Pb3SI, relaxed
# Magnetic moment ... 1.25 μB/f.u.
# Crystal system ... cubic
data_Pb3SI
_cell_length_a 5.674
_cell_length_b 5.674
_cell_length_c 5.674
_cell_angle_alpha 90.00
_cell_angle_beta 90.00
_cell_angle_gamma 90.00
_symmetry_space_group_name_H-M 'P m -3 m'
_symmetry_Int_Tables_number 221
_symmetry_space_group_name_Hall '-P 4 2 3'
loop_
_atom_site_label
_atom_site_type_symbol
_atom_site_fract_x
_atom_site_fract_y
_atom_site_fract_z
_atom_site_occupancy
Pb1 Pb 0.000 0.000 0.500 1
S1 S 0.000 0.000 0.000 1
I1 I 0.500 0.500 0.500 1


Decreasing stability: #2, #1


#1
# PBE-GGA PbS3I, relaxed
# Magnetic moment ... 0.00 μB/f.u.
# Crystal system ... cubic
data_PbS3I
_cell_length_a 5.115
_cell_length_b 5.115
_cell_length_c 5.115
_cell_angle_alpha 90.00
_cell_angle_beta 90.00
_cell_angle_gamma 90.00
_symmetry_space_group_name_H-M 'P m -3 m'
_symmetry_Int_Tables_number 221
_symmetry_space_group_name_Hall '-P 4 2 3'
loop_
_atom_site_label
_atom_site_type_symbol
_atom_site_fract_x
_atom_site_fract_y
_atom_site_fract_z
_atom_site_occupancy
Pb1 Pb 0.000 0.000 0.000 1
S1 S 0.000 0.500 0.500 1
I1 I 0.500 0.500 0.500 1


#2
# PBE-GGA PbS3I, relaxed
# Magnetic moment ... 2.51 μB/f.u.
# Crystal system ... cubic
data_PbS3I
_cell_length_a 5.265
_cell_length_b 5.265
_cell_length_c 5.265
_cell_angle_alpha 90.00
_cell_angle_beta 90.00
_cell_angle_gamma 90.00
_symmetry_space_group_name_H-M 'P m -3 m'
_symmetry_Int_Tables_number 221
_symmetry_space_group_name_Hall '-P 4 2 3'
loop_
_atom_site_label
_atom_site_type_symbol
_atom_site_fract_x
_atom_site_fract_y
_atom_site_fract_z
_atom_site_occupancy
Pb1 Pb 0.000 0.000 0.000 1
S1 S 0.000 0.000 0.500 1
I1 I 0.500 0.500 0.500 1


Decreasing stability: #1, #2


#1
# PBE-GGA TePbSI2, relaxed
# Magnetic moment ... 3.60 μB/f.u.
# Crystal system ... tetragonal
data_TePbSI2
_cell_length_a 6.200
_cell_length_b 6.200
_cell_length_c 6.126
_cell_angle_alpha 90.00
_cell_angle_beta 90.00
_cell_angle_gamma 90.00
_symmetry_space_group_name_H-M 'P 4/m m m'
_symmetry_Int_Tables_number 123
_symmetry_space_group_name_Hall '-P 4 2'
loop_
_atom_site_label
_atom_site_type_symbol
_atom_site_fract_x
_atom_site_fract_y
_atom_site_fract_z
_atom_site_occupancy
Te1 Te 0.000 0.000 0.000 1
Pb1 Pb 0.000 0.000 0.500 1
S1 S 0.500 0.500 0.000 1
I1 I 0.000 0.500 0.500 1


#2
# PBE-GGA TePbSI2, relaxed
# Magnetic moment ... 0.00 μB/f.u.
# Crystal system ... tetragonal
data_TePbSI2
_cell_length_a 5.657
_cell_length_b 5.657
_cell_length_c 5.525
_cell_angle_alpha 90.00
_cell_angle_beta 90.00
_cell_angle_gamma 90.00
_symmetry_space_group_name_H-M 'P 4/m m m'
_symmetry_Int_Tables_number 123
_symmetry_space_group_name_Hall '-P 4 2'
loop_
_atom_site_label
_atom_site_type_symbol
_atom_site_fract_x
_atom_site_fract_y
_atom_site_fract_z
_atom_site_occupancy
Te1 Te 0.000 0.000 0.000 1
Pb1 Pb 0.500 0.500 0.000 1
S1 S 0.000 0.000 0.500 1
I1 I 0.000 0.500 0.500 1


Decreasing stability: #2, #1


#1
# PBE-GGA Sb2Pb2I, relaxed
# Magnetic moment ... 0.00 μB/f.u.
# Crystal system ... tetragonal
data_Sb2Pb2I
_cell_length_a 9.143
_cell_length_b 9.143
_cell_length_c 4.126
_cell_angle_alpha 90.00
_cell_angle_beta 90.00
_cell_angle_gamma 90.00
_symmetry_space_group_name_H-M 'P 4/m b m'
_symmetry_Int_Tables_number 127
_symmetry_space_group_name_Hall '-P 4 2ab'
loop_
_atom_site_label
_atom_site_type_symbol
_atom_site_fract_x
_atom_site_fract_y
_atom_site_fract_z
_atom_site_occupancy
Sb1 Sb 0.116 0.384 0.000 1
Pb1 Pb 0.154 0.654 0.500 1
I1 I 0.000 0.000 0.000 1


#2
# PBE-GGA Sb2Pb2I, relaxed
# Magnetic moment ... 0.00 μB/f.u.
# Crystal system ... tetragonal
data_Sb2Pb2I
_cell_length_a 4.643
_cell_length_b 4.643
_cell_length_c 16.339
_cell_angle_alpha 90.00
_cell_angle_beta 90.00
_cell_angle_gamma 90.00
_symmetry_space_group_name_H-M 'I 4/m m m'
_symmetry_Int_Tables_number 139
_symmetry_space_group_name_Hall '-I 4 2'
loop_
_atom_site_label
_atom_site_type_symbol
_atom_site_fract_x
_atom_site_fract_y
_atom_site_fract_z
_atom_site_occupancy
Sb1 Sb 0.000 0.500 0.250 1
Pb1 Pb 0.000 0.000 0.114 1
I1 I 0.000 0.000 0.500 1


#3
# PBE-GGA Sb2Pb2I, relaxed
# Magnetic moment ... 0.00 μB/f.u.
# Crystal system ... tetragonal
data_Sb2Pb2I
_cell_length_a 9.229
_cell_length_b 9.229
_cell_length_c 4.094
_cell_angle_alpha 90.00
_cell_angle_beta 90.00
_cell_angle_gamma 90.00
_symmetry_space_group_name_H-M 'P 4/m b m'
_symmetry_Int_Tables_number 127
_symmetry_space_group_name_Hall '-P 4 2ab'
loop_
_atom_site_label
_atom_site_type_symbol
_atom_site_fract_x
_atom_site_fract_y
_atom_site_fract_z
_atom_site_occupancy
Sb1 Sb 0.113 0.387 0.000 1
Pb1 Pb 0.159 0.659 0.500 1
I1 I 0.000 0.000 0.500 1


#4
# PBE-GGA Sb2Pb2I, relaxed
# Magnetic moment ... 0.00 μB/f.u.
# Crystal system ... tetragonal
data_Sb2Pb2I
_cell_length_a 5.886
_cell_length_b 5.886
_cell_length_c 10.292
_cell_angle_alpha 90.00
_cell_angle_beta 90.00
_cell_angle_gamma 90.00
_symmetry_space_group_name_H-M 'I 4/m m m'
_symmetry_Int_Tables_number 139
_symmetry_space_group_name_Hall '-I 4 2'
loop_
_atom_site_label
_atom_site_type_symbol
_atom_site_fract_x
_atom_site_fract_y
_atom_site_fract_z
_atom_site_occupancy
Sb1 Sb 0.000 0.000 0.136 1
Pb1 Pb 0.000 0.500 0.250 1
I1 I 0.000 0.000 0.500 1


Decreasing stability: #2, #4, #3, #1